A) Material: BaMgPtPb
Method: DFT, GGA-PBE
State: optimized geometry

abc: 5.292 5.292 5.292
angles: 60.00 60.00 60.00
Sites, in units of the cell vectors:
Pt (0.250, 0.250, 0.250)
Pb (0.000, 0.000, 0.000)
Ba (0.500, 0.500, 0.500)
Mg (0.750, 0.750, 0.750)

Summary:
Size of the total moment = 0.0 μB/f.u.
Volume = 104.8 Å³/f.u.
SG = F-43m

---

B) Material: BaMgPtPb
Method: DFT, GGA-PBE
State: optimized geometry

abc: 5.248 5.248 5.248
angles: 60.00 60.00 60.00
Sites, in units of the cell vectors:
Pt (0.500, 0.500, 0.500)
Pb (0.250, 0.250, 0.250)
Mg (0.750, 0.750, 0.750)
Ba (0.000, 0.000, 0.000)

Summary:
Size of the total moment = 0.0 μB/f.u.
Volume = 102.2 Å³/f.u.
SG = F-43m

---

Most favorable structure: A). The second most favorable one is 0.018 eV/atom above it.

---

A) Material: BaMgZrPd
Method: DFT, GGA-PBE
State: optimized geometry

abc: 5.281 5.281 5.281
angles: 60.00 60.00 60.00
Sites, in units of the cell vectors:
Zr (0.000, 0.000, 0.000)
Pd (0.250, 0.250, 0.250)
Ba (0.500, 0.500, 0.500)
Mg (0.750, 0.750, 0.750)

Summary:
Size of the total moment = 0.0 μB/f.u.
Volume = 104.1 Å³/f.u.
SG = F-43m

---

B) Material: BaMgZrPd
Method: DFT, GGA-PBE
State: optimized geometry

abc: 5.091 5.091 5.091
angles: 60.00 60.00 60.00
Sites, in units of the cell vectors:
Pd (0.500, 0.500, 0.500)
Ba (0.000, 0.000, 0.000)
Zr (0.250, 0.250, 0.250)
Mg (0.750, 0.750, 0.750)

Summary:
Size of the total moment = 0.0 μB/f.u.
Volume = 93.3 Å³/f.u.
SG = F-43m

---

C) Material: BaMgZrPd
Method: DFT, GGA-PBE
State: optimized geometry

abc: 5.141 5.141 5.141
angles: 60.00 60.00 60.00
Sites, in units of the cell vectors:
Ba (0.250, 0.250, 0.250)
Zr (0.000, 0.000, 0.000)
Pd (0.500, 0.500, 0.500)
Mg (0.750, 0.750, 0.750)

Summary:
Size of the total moment = 0.0 μB/f.u.
Volume = 96.1 Å³/f.u.
SG = F-43m

---

Most favorable structure: B). The second most favorable one is 0.024 eV/atom above it.

---

A) Material: BaMgSnPt
Method: DFT, GGA-PBE
State: optimized geometry

abc: 5.294 5.294 5.294
angles: 60.00 60.00 60.00
Sites, in units of the cell vectors:
Pt (0.500, 0.500, 0.500)
Sn (0.000, 0.000, 0.000)
Mg (0.750, 0.750, 0.750)
Ba (0.250, 0.250, 0.250)

Summary:
Size of the total moment = 0.0 μB/f.u.
Volume = 104.9 Å³/f.u.
SG = F-43m

---

B) Material: BaMgSnPt
Method: DFT, GGA-PBE
State: optimized geometry

abc: 5.202 5.202 5.202
angles: 60.00 60.00 60.00
Sites, in units of the cell vectors:
Mg (0.750, 0.750, 0.750)
Pt (0.250, 0.250, 0.250)
Sn (0.000, 0.000, 0.000)
Ba (0.500, 0.500, 0.500)

Summary:
Size of the total moment = 0.0 μB/f.u.
Volume = 99.6 Å³/f.u.
SG = F-43m

---

Most favorable structure: B). The second most favorable one is 0.037 eV/atom above it.

---

A) Material: BaTmMgSb2
Method: DFT, GGA-PBE
State: optimized geometry

abc: 4.883 4.883 8.372
angles: 90.00 90.00 120.00
Sites, in units of the cell vectors:
Ba (0.000, 0.000, 0.995)
Sb (0.333, 0.667, 0.262)
Sb (0.667, 0.333, 0.732)
Mg (0.333, 0.667, 0.631)
Tm (0.667, 0.333, 0.380)

Summary:
Size of the total moment = 0.0 μB/f.u.
Volume = 172.9 Å³/f.u.
SG = P3m1

---

B) Material: BaTmMgSb2
Method: DFT, GGA-PBE
State: optimized geometry

abc: 9.703 9.703 7.134
angles: 90.00 90.00 151.49
Sites, in units of the cell vectors:
Sb (0.444, 0.556, 0.002)
Sb (0.556, 0.444, 0.502)
Sb (0.838, 0.162, 0.516)
Sb (0.162, 0.838, 0.016)
Ba (0.804, 0.196, 0.014)
Ba (0.196, 0.804, 0.514)
Tm (0.983, 0.017, 0.723)
Tm (0.017, 0.983, 0.223)
Mg (0.404, 0.596, 0.401)
Mg (0.596, 0.404, 0.901)

Summary:
Size of the total moment = 0.3 μB/f.u.
Volume = 160.3 Å³/f.u.
SG = Cmc2_1

---

Most favorable structure: B). The second most favorable one is 0.040 eV/atom above it.